This record from Alexandria via LeMat-Bulk describes a relaxed structure of Tl3MoF6. The functional is GGA+U.

Calculated values
The value obtained for the total energy is -4.506 eV per atom. Its density of states at the Fermi level is 0.000 states/eV per atom.

Geometry as CIF:
```
data_Tl3MoF6
_cell_length_a 9.6914
_cell_length_b 14.7248
_cell_length_c 6.3113
_cell_angle_alpha 90.00
_cell_angle_beta 90.00
_cell_angle_gamma 90.00
_space_group_name_H-M_alt 'C m c 21'
_space_group_IT_number 36
loop_
_space_group_symop_operation_xyz
'x,y,z'
'-x,-y,z+1/2'
'-x,y,z'
'x,-y,z+1/2'
'x+1/2,y+1/2,z'
'-x+1/2,-y+1/2,z+1/2'
'-x+1/2,y+1/2,z'
'x+1/2,-y+1/2,z+1/2'
loop_
_atom_site_label
_atom_site_fract_x
_atom_site_fract_y
_atom_site_fract_z
_atom_site_occupancy
Tl1 0.0000 0.1013 0.0000 1
Tl2 0.2128 0.4018 0.9992 1
Mo1 0.0000 0.3125 0.5028 1
F1 0.0000 0.1764 0.4971 1
F2 0.0000 0.4480 0.5093 1
F3 0.1632 0.9999 0.2496 1
F4 0.2047 0.3089 0.5028 1
```